Record 1
## Dy2HoBe (PBE-GGA)

Data for a relaxed structure of Dy2HoBe.

a = 3.467 Å, b = 3.467 Å, c = 8.507 Å
α = 90.00°, β = 90.00°, γ = 90.00°
Fractional positions:
Be 0.500 0.500 0.000
Ho 0.500 0.500 0.500
Dy 0.000 0.000 0.806
Dy 0.000 0.000 0.194

Summary:
- Symmetry: P4/mmm
- E_form: 0.072 eV per atom
- Energy relative to the lowest polymorph listed for this composition: 0 meV per atom

=====

Record 2
## TlFe2SbP (PBE-GGA)

Data for a relaxed structure of TlFe2SbP.

a = 4.417 Å, b = 5.507 Å, c = 4.417 Å
α = 90.00°, β = 90.00°, γ = 90.00°
Fractional positions:
Sb 0.000 0.500 0.000
Tl 0.500 0.500 0.500
Fe 0.000 0.000 0.500
Fe 0.500 0.000 0.000
P 0.000 0.000 0.000

Summary:
- Symmetry: P4/mmm
- Formation energy (no corrections): 0.526 eV per atom

=====

Record 3
## ScCr2Br (PBE-GGA)

Data for a relaxed structure of ScCr2Br.

a = 4.817 Å, b = 4.817 Å, c = 4.817 Å
α = 60.00°, β = 60.00°, γ = 60.00°
Fractional positions:
Sc 0.000 0.000 0.000
Cr 0.250 0.250 0.250
Cr 0.750 0.750 0.750
Br 0.500 0.500 0.500

Summary:
- Symmetry: Fm-3m
- Formation energy (no corrections): 0.850 eV per atom
- Energy relative to the lowest polymorph listed for this composition: 861 meV per atom

=====

Record 4
## LiBC (PBE-GGA)

Data for a relaxed structure of LiBC.

a = 7.301 Å, b = 4.091 Å, c = 4.091 Å
α = 120.78°, β = 130.55°, γ = 49.45°
Fractional positions:
C 0.212 0.571 0.429
C 0.788 0.429 0.571
B 0.000 0.000 0.500
B 0.000 0.500 0.000
Li 0.342 0.772 0.228
Li 0.658 0.228 0.772

Summary:
- Symmetry: C2/m
- E_form: 0.114 eV per atom

=====

Record 5
## UP2Ru4 (PBE-GGA)

Data for a relaxed structure of UP2Ru4.

a = 3.917 Å, b = 3.917 Å, c = 8.946 Å
α = 102.65°, β = 102.65°, γ = 90.00°
Fractional positions:
U 0.000 0.000 0.000
P 0.671 0.671 0.342
P 0.329 0.329 0.658
Ru 0.127 0.127 0.254
Ru 0.873 0.873 0.746
Ru 0.250 0.750 0.500
Ru 0.750 0.250 0.500

Summary:
- Symmetry: I4/mmm
- E_form: -0.070 eV per atom
- Energy relative to the lowest polymorph listed for this composition: 409 meV per atom

=====

Record 6
## NdAl4Zn (PBE-GGA)

Data for a relaxed structure of NdAl4Zn.

a = 5.552 Å, b = 5.552 Å, c = 5.552 Å
α = 60.00°, β = 60.00°, γ = 60.00°
Fractional positions:
Zn 0.000 0.000 0.000
Nd 0.250 0.250 0.250
Al 0.625 0.625 0.126
Al 0.625 0.126 0.625
Al 0.625 0.625 0.625
Al 0.126 0.625 0.625

Summary:
- Symmetry: F-43m
- E_form: -0.123 eV per atom

=====

Record 7
## ZrV3In (PBE-GGA)

Data for a relaxed structure of ZrV3In.

a = 4.791 Å, b = 4.791 Å, c = 4.791 Å
α = 90.00°, β = 90.00°, γ = 90.00°
Fractional positions:
In 0.000 0.000 0.000
Zr 0.500 0.500 0.500
V 0.000 0.500 0.000
V 0.000 0.000 0.500
V 0.500 0.000 0.000

Summary:
- Symmetry: Pm-3m
- E_form: 1.638 eV per atom
- Energy relative to the lowest polymorph listed for this composition: 186 meV per atom

=====

Record 8
## TbDy7In2 (PBE-GGA)

Data for a relaxed structure of TbDy7In2.

a = 5.398 Å, b = 8.969 Å, c = 8.969 Å
α = 118.79°, β = 90.00°, γ = 90.00°
Fractional positions:
Tb 0.000 0.000 0.000
Dy 0.000 0.773 0.227
Dy 0.000 0.227 0.773
Dy 0.500 0.060 0.302
Dy 0.500 0.940 0.698
Dy 0.500 0.302 0.060
Dy 0.500 0.698 0.940
Dy 0.500 0.500 0.500
In 0.500 0.696 0.304
In 0.500 0.304 0.696

Summary:
- Symmetry: Cmmm
- E_form: 0.352 eV per atom

=====

Record 9
## YSc2AlGe (PBE-GGA)

Data for a relaxed structure of YSc2AlGe.

a = 5.255 Å, b = 5.303 Å, c = 5.255 Å
α = 90.00°, β = 90.00°, γ = 90.00°
Fractional positions:
Y 0.000 0.000 0.000
Sc 0.000 0.000 0.500
Sc 0.500 0.000 0.000
Ge 0.000 0.500 0.000
Al 0.500 0.500 0.500

Summary:
- Symmetry: P4/mmm
- E_form: 0.978 eV per atom

=====

Record 10
## CrTc2Ge (PBE-GGA)

Data for a relaxed structure of CrTc2Ge.

a = 6.242 Å, b = 6.242 Å, c = 6.242 Å
α = 154.99°, β = 45.89°, γ = 142.17°
Fractional positions:
Cr 0.000 0.000 0.000
Tc 0.797 0.000 0.797
Tc 0.203 0.000 0.203
Ge 0.500 0.000 0.500

Summary:
- Symmetry: Immm
- E_form: 0.500 eV per atom

=====

Record 11
## ScZn2Re (PBE-GGA)

Data for a relaxed structure of ScZn2Re.

a = 2.774 Å, b = 2.774 Å, c = 8.273 Å
α = 90.00°, β = 90.00°, γ = 90.00°
Fractional positions:
Re 0.500 0.500 0.250
Sc 0.500 0.500 0.750
Zn 0.000 0.000 0.014
Zn 0.000 0.000 0.486

Summary:
- Symmetry: P4/mmm
- E_form: 0.101 eV per atom
- Energy relative to the lowest polymorph listed for this composition: 188 meV per atom

=====

Record 12
## MoPtC (PBE-GGA)

Data for a relaxed structure of MoPtC.

a = 5.044 Å, b = 5.671 Å, c = 5.687 Å
α = 90.00°, β = 103.74°, γ = 90.00°
Fractional positions:
Mo 0.675 0.752 0.341
Mo 0.675 0.248 0.341
Mo 0.675 0.252 0.841
Mo 0.675 0.748 0.841
C 0.513 0.000 0.056
C 0.513 0.500 0.556
C 0.794 0.000 0.615
C 0.794 0.500 0.115
Pt 0.155 0.000 0.225
Pt 0.155 0.500 0.725
Pt 0.198 0.000 0.731
Pt 0.198 0.500 0.231

Summary:
- Symmetry: Cm
- E_form: 0.106 eV per atom
- Energy relative to the lowest polymorph listed for this composition: 26 meV per atom

=====

Going through the records in order, we get magnetization values of 0.00, 5.40, 7.97, 0.00, 0.36, 0.00, 0.62, 0.01, 0.00, 0.00, 0.25, 0.00 μB per formula unit.